Record 1
# ZnMo2Br

A relaxed ZnMo2Br crystal (PBE, Alexandria via LeMat-Bulk).

The structure in POSCAR format:
```
ZnMo2Br
1.0
-5.319 -5.083 -4.895
-3.362 -4.276 -6.964
-2.784 -6.581 -5.199
Mo Zn Br
2 1 1
Direct
0.001 0.001 0.001
0.499 0.499 0.499
0.250 0.250 0.250
0.750 0.750 0.750
```

Values from the calculation:
The uncorrected formation energy is 0.629 eV per atom. As for the crystal system: trigonal. As for the calculated total energy: -5.52 eV/atom.

=====

Record 2
# ZnMo2Br

A relaxed ZnMo2Br crystal (PBE, Alexandria via LeMat-Bulk).

The structure in POSCAR format:
```
ZnMo2Br
1.0
3.063 0.000 0.000
0.000 4.690 0.000
0.000 0.000 4.712
Br Mo Zn
1 2 1
Direct
0.000 0.500 0.500
0.000 0.000 0.000
0.500 0.500 0.000
0.500 0.000 0.500
```

Values from the calculation:
The uncorrected formation energy is 0.778 eV per atom. As for the crystal system: orthorhombic. As for the calculated total energy: -5.37 eV/atom.

=====

Record 3
# ZnMo2Br

A relaxed ZnMo2Br crystal (PBE, Alexandria via LeMat-Bulk).

The structure in POSCAR format:
```
ZnMo2Br
1.0
-4.444 4.768 -0.125
-2.969 2.900 -5.027
1.583 -5.295 3.458
Br Zn Mo
1 1 2
Direct
0.201 0.701 0.500
0.465 0.465 0.000
0.841 0.341 0.500
0.993 0.993 0.000
```

Values from the calculation:
The uncorrected formation energy is 0.503 eV per atom. As for the crystal system: orthorhombic. As for the calculated total energy: -5.65 eV/atom.

=====

Record 4
# ZnMo2Br

A relaxed ZnMo2Br crystal (PBE, Alexandria via LeMat-Bulk).

The structure in POSCAR format:
```
ZnMo2Br
1.0
4.166 0.296 1.571
1.204 -2.361 3.589
2.798 -3.448 -0.434
Mo Zn Br
2 1 1
Direct
0.250 0.250 0.250
0.750 0.750 0.750
0.000 0.000 0.000
0.500 0.500 0.500
```

Values from the calculation:
The uncorrected formation energy is 0.900 eV per atom. As for the crystal system: cubic. As for the calculated total energy: -5.25 eV/atom.

=====

Record 5
# ZnMo2Br

A relaxed ZnMo2Br crystal (PBE, Alexandria via LeMat-Bulk).

The structure in POSCAR format:
```
ZnMo2Br
1.0
3.877 0.000 0.000
0.000 3.877 0.000
1.939 1.939 9.870
Mo Br Zn
4 2 2
Direct
0.875 0.827 0.750
0.173 0.625 0.250
0.577 0.125 0.250
0.375 0.423 0.750
0.750 0.250 0.500
0.000 0.000 0.000
0.500 0.500 0.000
0.250 0.750 0.500
```

Values from the calculation:
The uncorrected formation energy is 0.811 eV per atom. As for the crystal system: tetragonal. As for the calculated total energy: -5.34 eV/atom.

=====

Record 6
# ZnMo2Br

A relaxed ZnMo2Br crystal (PBE, Alexandria via LeMat-Bulk).

The structure in POSCAR format:
```
ZnMo2Br
1.0
5.494 0.006 -0.002
2.556 4.863 0.002
-3.367 -3.523 2.537
Mo Br Zn
2 1 1
Direct
0.492 0.492 0.000
0.008 0.008 0.000
0.250 0.750 0.500
0.750 0.250 0.500
```

Values from the calculation:
The uncorrected formation energy is 0.770 eV per atom. As for the crystal system: orthorhombic. As for the calculated total energy: -5.38 eV/atom.